No. 1
A plane-wave DFT calculation with GGA-PBE was carried out for a relaxed structure of MgZnRu2.

The structure in extended XYZ format:
```
4
Lattice="-3.3074 -2.3218 3.2140 0.0931 -5.1617 0.0868 2.6410 4.3682 0.7767" Properties=species:S:1:pos:R:3 pbc="T T T"
Ru -1.6359 -3.8086 1.6799
Zn -1.1368 -0.8477 2.8205
Ru -3.1856 -7.4166 3.2713
Mg 0.5635 -2.2676 1.2569
```

Calculated values
Space group: Immm, No. 71
Size of the total moment: 0.1984 μB per atom

---

No. 2
A plane-wave DFT calculation with GGA-PBE was carried out for a relaxed structure of Nd4Y9In11.

The structure in extended XYZ format:
```
24
Lattice="3.5035 0.0000 0.0000 0.0000 13.2188 -5.3643 0.0000 0.2621 14.2634" Properties=species:S:1:pos:R:3 pbc="T T T"
In 0.0000 8.0578 10.5348
In 0.0000 10.8249 7.1458
In 0.0000 10.7633 -1.6445
Y 1.7518 10.7922 9.8709
In 0.0000 2.6560 1.7533
Nd 1.7518 8.0567 7.6103
Y 1.7518 2.3556 7.8269
Y 1.7518 0.1630 2.8543
In 0.0000 8.3105 2.0712
Nd 1.7518 3.3167 4.4813
In 0.0000 12.8539 3.2695
Nd 1.7518 5.4242 1.2888
In 0.0000 0.0000 0.0000
In 0.0000 0.6270 5.6296
In 0.0000 2.7176 10.5436
Y 1.7518 8.1229 -0.9097
In 0.0000 5.4231 -1.6357
Y 1.7518 13.3179 6.0448
In 0.0000 5.1704 6.8279
Y 1.7518 6.7404 4.4495
Y 1.7518 2.6887 -0.9718
Y 1.7518 11.1253 1.0722
Nd 1.7518 10.1642 4.4178
Y 1.7518 5.3580 9.8088
```

Calculated values
Space group: Cmmm, No. 65
Size of the total moment: 0.0000 μB per atom

---

Ordered energy of formation from the pure elements results: 111 -423; unit meV/atom.